# 1
A plane-wave DFT calculation with PBE-GGA was carried out for an optimized crystal structure of SnTeN2.

abc: 5.662 5.662 5.977
angles: 61.73 61.73 90.00
Positions (direct):
Te: 0.000 0.000 0.000
Te: 0.750 0.250 0.500
Sn: 0.500 0.500 0.000
Sn: 0.250 0.750 0.500
N: 0.577 0.125 0.250
N: 0.173 0.625 0.250
N: 0.375 0.423 0.750
N: 0.875 0.827 0.750

Density of states at the Fermi level: 1.60 states/eV/cell
Uncorrected energy: -5.107 eV/atom
Volume: 17.78 A^3/atom
M_tot: 0.00 μB/f.u.
Offset from the most stable computed form: 842 meV/atom
Crystal system: tetragonal


# 2
A plane-wave DFT calculation with PBE-GGA was carried out for an optimized crystal structure of SnTeN3.

abc: 4.046 4.046 4.046
angles: 90.00 90.00 90.00
Positions (direct):
Te: 0.000 0.000 0.000
Sn: 0.500 0.500 0.500
N: 0.000 0.500 0.000
N: 0.000 0.000 0.500
N: 0.500 0.000 0.000

Density of states at the Fermi level: 2.76 states/eV/cell
Uncorrected energy: -5.075 eV/atom
Volume: 13.25 A^3/atom
M_tot: 0.00 μB/f.u.
Crystal system: cubic


# 3
A plane-wave DFT calculation with PBE-GGA was carried out for an optimized crystal structure of SnTe2N.

abc: 4.997 4.997 4.997
angles: 60.00 60.00 60.00
Positions (direct):
Te: 0.250 0.250 0.250
Te: 0.750 0.750 0.750
Sn: 0.500 0.500 0.500
N: 0.000 0.000 0.000

Density of states at the Fermi level: 3.67 states/eV/cell
Uncorrected energy: -3.401 eV/atom
Volume: 22.05 A^3/atom
M_tot: 0.00 μB/f.u.
Offset from the most stable computed form: 943 meV/atom
Crystal system: cubic